The following is a DFT calculation (PBE) of La3TeP2Rh9 after structural relaxation.

Properties
For the total DFT energy (no corrections), the calculation gives -7.01 eV per atom. The value obtained for the density of states at the Fermi level is 7.4 states/eV/f.u. Its uncorrected formation energy is -687 meV per atom. For the total magnetization, the calculation gives 0.00 Bohr magnetons per cell.

```
data_La3TeP2Rh9
_cell_length_a 6.087
_cell_length_b 6.087
_cell_length_c 9.322
_cell_angle_alpha 90.00
_cell_angle_beta 90.00
_cell_angle_gamma 120.00
_symmetry_space_group_name_H-M 'P 1'
_symmetry_Int_Tables_number 1
_symmetry_space_group_name_Hall 'P 1'
loop_
_atom_site_label
_atom_site_fract_x
_atom_site_fract_y
_atom_site_fract_z
La1 0.000 0.000 0.000
La2 0.333 0.667 0.683
La3 0.667 0.333 0.317
Te1 0.000 0.000 0.500
P1 0.333 0.667 0.156
P2 0.667 0.333 0.844
Rh1 0.000 0.500 0.000
Rh2 0.155 0.310 0.281
Rh3 0.155 0.845 0.281
Rh4 0.310 0.155 0.719
Rh5 0.500 0.000 0.000
Rh6 0.500 0.500 0.000
Rh7 0.690 0.845 0.281
Rh8 0.845 0.155 0.719
Rh9 0.845 0.690 0.719
```

=====

The following is a DFT calculation (PBE) of LaThP2Rh5 after structural relaxation.

Properties
For the formation energy, the calculation gives -909 meV per atom. For the total DFT energy (no corrections), the calculation gives -7.57 eV per atom. The value obtained for the density of states at the Fermi level is 2.5 states/eV/f.u. For the total magnetization, the calculation gives 0.00 Bohr magnetons per cell.

```
data_LaThP2Rh5
_cell_length_a 4.092
_cell_length_b 4.092
_cell_length_c 10.777
_cell_angle_alpha 90.00
_cell_angle_beta 90.00
_cell_angle_gamma 90.00
_symmetry_space_group_name_H-M 'P 1'
_symmetry_Int_Tables_number 1
_symmetry_space_group_name_Hall 'P 1'
loop_
_atom_site_label
_atom_site_fract_x
_atom_site_fract_y
_atom_site_fract_z
La1 0.000 0.000 0.000
Th1 0.000 0.000 0.500
P1 0.500 0.500 0.212
P2 0.500 0.500 0.788
Rh1 0.000 0.500 0.306
Rh2 0.000 0.500 0.694
Rh3 0.500 0.000 0.306
Rh4 0.500 0.000 0.694
Rh5 0.500 0.500 0.000
```

=====

The following is a DFT calculation (PBE) of La2TiP4Rh3 after structural relaxation.

Properties
For the formation energy, the calculation gives -1158 meV per atom. For the total DFT energy (no corrections), the calculation gives -7.30 eV per atom. The value obtained for the density of states at the Fermi level is 3.6 states/eV/f.u. For the total magnetization, the calculation gives 0.00 Bohr magnetons per cell.

```
data_La2TiP4Rh3
_cell_length_a 4.231
_cell_length_b 4.231
_cell_length_c 9.850
_cell_angle_alpha 90.00
_cell_angle_beta 90.00
_cell_angle_gamma 90.00
_symmetry_space_group_name_H-M 'P 1'
_symmetry_Int_Tables_number 1
_symmetry_space_group_name_Hall 'P 1'
loop_
_atom_site_label
_atom_site_fract_x
_atom_site_fract_y
_atom_site_fract_z
La1 0.000 0.500 0.233
La2 0.500 0.000 0.767
Ti1 0.000 0.000 0.500
P1 0.000 0.000 0.000
P2 0.000 0.500 0.639
P3 0.500 0.000 0.361
P4 0.500 0.500 0.000
Rh1 0.000 0.500 0.893
Rh2 0.500 0.000 0.107
Rh3 0.500 0.500 0.500
```